## UTlAs2O8 (PBE-GGA)

Data for crystalline UTlAs2O8 at its relaxed geometry.

## Properties
**SG**: P-3m1
**Total moment**: 0.083 μB per atom
**Calculated volume**: 19.835 A^3/atom
**E_form (uncorrected)**: -1753 meV per atom

a b c (Å): 5.7315 5.7315 8.3667
angles (deg): 90.00 90.00 120.00
With the nearest neighbours (Å) after each atom.
Sites, in units of the cell vectors:
1 O 0.1728 0.3457 0.8476  1 As 1.74
2 O 0.3457 0.1729 0.1524  1 As 1.74
3 O 0.8272 0.1729 0.1524  1 As 1.74
4 O 0.3333 0.6667 0.5650  1 As 1.66
5 O 0.1728 0.8271 0.8476  1 As 1.74
6 O 0.6543 0.8271 0.8476  1 As 1.74
7 O 0.8272 0.6543 0.1524  1 As 1.74
8 O 0.6667 0.3333 0.4350  1 As 1.66
9 As 0.6667 0.3333 0.2367  4 O 1.66-1.74
10 As 0.3333 0.6667 0.7633  4 O 1.66-1.74
11 Tl 0.0000 0.0000 0.5000  12 O 3.35-3.38
12 U 0.0000 0.0000 0.0000  6 O 2.14